No. 1
# Sc2ReSe | Alexandria | SCAN | single point on PBEsol structure
# Raw formation energy = -0.373 eV per atom
# Crystal system = tetragonal
# Density = 7665 kg/m³
# Symmetry = P4mm (99)
# Calculated volume = 19.23 Å³/atom
# DFT total energy = -2.226 Ry per atom
data_Sc2ReSe
_cell_length_a 3.7212
_cell_length_b 3.7212
_cell_length_c 5.5552
_cell_angle_alpha 90.00
_cell_angle_beta 90.00
_cell_angle_gamma 90.00
_symmetry_space_group_name_H-M 'P 1'
_symmetry_Int_Tables_number 1
loop_
_symmetry_equiv_pos_as_xyz
'x,y,z'
loop_
_atom_site_label
_atom_site_type_symbol
_atom_site_fract_x
_atom_site_fract_y
_atom_site_fract_z
Re1 Re 0.5000 0.5000 0.8346
Sc1 Sc 0.0000 0.0000 0.9417
Sc2 Sc 0.5000 0.5000 0.2889
Se1 Se 0.0000 0.0000 0.4348

No. 2
# ScReSe | Alexandria | SCAN | single point on PBEsol structure
# Raw formation energy = -0.217 eV per atom
# Crystal system = hexagonal
# Density = 10152 kg/m³
# Symmetry = P-6m2 (187)
# Calculated volume = 16.91 Å³/atom
# DFT total energy = -2.599 Ry per atom
data_ScReSe
_cell_length_a 3.1926
_cell_length_b 4.2833
_cell_length_c 4.2833
_cell_angle_alpha 120.00
_cell_angle_beta 90.00
_cell_angle_gamma 90.00
_symmetry_space_group_name_H-M 'P 1'
_symmetry_Int_Tables_number 1
loop_
_symmetry_equiv_pos_as_xyz
'x,y,z'
loop_
_atom_site_label
_atom_site_type_symbol
_atom_site_fract_x
_atom_site_fract_y
_atom_site_fract_z
Re1 Re 0.5000 0.0000 0.0000
Sc1 Sc 0.0000 0.3333 0.6667
Se1 Se 0.5000 0.6667 0.3333

No. 3
# Sc2ReSe | Alexandria | SCAN | single point on PBEsol structure
# Raw formation energy = -0.114 eV per atom
# Crystal system = tetragonal
# Density = 7882 kg/m³
# Symmetry = P4mm (99)
# Calculated volume = 18.70 Å³/atom
# DFT total energy = -2.207 Ry per atom
data_Sc2ReSe
_cell_length_a 3.1263
_cell_length_b 3.1263
_cell_length_c 7.6538
_cell_angle_alpha 90.00
_cell_angle_beta 90.00
_cell_angle_gamma 90.00
_symmetry_space_group_name_H-M 'P 1'
_symmetry_Int_Tables_number 1
loop_
_symmetry_equiv_pos_as_xyz
'x,y,z'
loop_
_atom_site_label
_atom_site_type_symbol
_atom_site_fract_x
_atom_site_fract_y
_atom_site_fract_z
Re1 Re 0.5000 0.5000 0.7118
Sc1 Sc 0.0000 0.0000 0.9566
Sc2 Sc 0.5000 0.5000 0.2875
Se1 Se 0.0000 0.0000 0.5440

No. 4
# ScRe2Se | Alexandria | SCAN | single point on PBEsol structure
# Raw formation energy = 0.058 eV per atom
# Crystal system = monoclinic
# Density = 12271 kg/m³
# Symmetry = C2/m (12)
# Calculated volume = 16.79 Å³/atom
# DFT total energy = -3.239 Ry per atom
data_ScRe2Se
_cell_length_a 3.1774
_cell_length_b 4.1295
_cell_length_c 5.7425
_cell_angle_alpha 111.06
_cell_angle_beta 106.04
_cell_angle_gamma 90.00
_symmetry_space_group_name_H-M 'P 1'
_symmetry_Int_Tables_number 1
loop_
_symmetry_equiv_pos_as_xyz
'x,y,z'
loop_
_atom_site_label
_atom_site_type_symbol
_atom_site_fract_x
_atom_site_fract_y
_atom_site_fract_z
Re1 Re 0.0000 0.5000 0.5000
Re2 Re 0.5000 0.0000 0.5000
Sc1 Sc 0.0000 0.0000 0.0000
Se1 Se 0.5000 0.5000 0.0000

No. 5
# ScRe3Si | Alexandria | SCAN | single point on PBEsol structure
# Raw formation energy = 2.817 eV per atom
# Crystal system = cubic
# Density = 11328 kg/m³
# Symmetry = Pm-3m (221)
# Calculated volume = 18.52 Å³/atom
# DFT total energy = -3.285 Ry per atom
data_ScRe3Si
_cell_length_a 4.5240
_cell_length_b 4.5240
_cell_length_c 4.5240
_cell_angle_alpha 90.00
_cell_angle_beta 90.00
_cell_angle_gamma 90.00
_symmetry_space_group_name_H-M 'P 1'
_symmetry_Int_Tables_number 1
loop_
_symmetry_equiv_pos_as_xyz
'x,y,z'
loop_
_atom_site_label
_atom_site_type_symbol
_atom_site_fract_x
_atom_site_fract_y
_atom_site_fract_z
Sc1 Sc 0.0000 0.0000 0.0000
Re1 Re 0.0000 0.5000 0.0000
Re2 Re 0.0000 0.0000 0.5000
Re3 Re 0.5000 0.0000 0.0000
Si1 Si 0.5000 0.5000 0.5000

No. 6
# ScReSi | Alexandria | SCAN | single point on PBEsol structure
# Raw formation energy = -0.137 eV per atom
# Crystal system = cubic
# Density = 8378 kg/m³
# Symmetry = F-43m (216)
# Calculated volume = 17.13 Å³/atom
# DFT total energy = -2.346 Ry per atom
data_ScReSi
_cell_length_a 4.1729
_cell_length_b 4.1729
_cell_length_c 4.1729
_cell_angle_alpha 60.00
_cell_angle_beta 60.00
_cell_angle_gamma 60.00
_symmetry_space_group_name_H-M 'P 1'
_symmetry_Int_Tables_number 1
loop_
_symmetry_equiv_pos_as_xyz
'x,y,z'
loop_
_atom_site_label
_atom_site_type_symbol
_atom_site_fract_x
_atom_site_fract_y
_atom_site_fract_z
Re1 Re 0.0000 0.0000 0.0000
Sc1 Sc 0.5000 0.5000 0.5000
Si1 Si 0.7500 0.7500 0.7500

No. 7
# Sc2ReSi2 | Alexandria | SCAN | single point on PBEsol structure
# Raw formation energy = -0.755 eV per atom
# Crystal system = tetragonal
# Density = 6843 kg/m³
# Symmetry = P4/mbm (127)
# Calculated volume = 16.13 Å³/atom
# DFT total energy = -1.814 Ry per atom
data_Sc2ReSi2
_cell_length_a 3.8227
_cell_length_b 6.4950
_cell_length_c 6.4950
_cell_angle_alpha 90.00
_cell_angle_beta 90.00
_cell_angle_gamma 90.00
_symmetry_space_group_name_H-M 'P 1'
_symmetry_Int_Tables_number 1
loop_
_symmetry_equiv_pos_as_xyz
'x,y,z'
loop_
_atom_site_label
_atom_site_type_symbol
_atom_site_fract_x
_atom_site_fract_y
_atom_site_fract_z
Sc1 Sc 0.5000 0.1754 0.6754
Sc2 Sc 0.5000 0.6754 0.8246
Sc3 Sc 0.5000 0.8246 0.3246
Sc4 Sc 0.5000 0.3246 0.1754
Re1 Re 0.0000 0.0000 0.0000
Re2 Re 0.0000 0.5000 0.5000
Si1 Si 0.0000 0.3703 0.8703
Si2 Si 0.0000 0.8703 0.6297
Si3 Si 0.0000 0.6297 0.1297
Si4 Si 0.0000 0.1297 0.3703

No. 8
# Sc2Re3Si4 | Alexandria | SCAN | single point on PBEsol structure
# Raw formation energy = -0.659 eV per atom
# Crystal system = tetragonal
# Density = 9501 kg/m³
# Symmetry = P4_12_12 (92)
# Calculated volume = 14.78 Å³/atom
# DFT total energy = -2.350 Ry per atom
data_Sc2Re3Si4
_cell_length_a 6.5638
_cell_length_b 6.5638
_cell_length_c 12.3471
_cell_angle_alpha 90.00
_cell_angle_beta 90.00
_cell_angle_gamma 90.00
_symmetry_space_group_name_H-M 'P 1'
_symmetry_Int_Tables_number 1
loop_
_symmetry_equiv_pos_as_xyz
'x,y,z'
loop_
_atom_site_label
_atom_site_type_symbol
_atom_site_fract_x
_atom_site_fract_y
_atom_site_fract_z
Sc1 Sc 0.0070 0.6585 0.0309
Sc2 Sc 0.9930 0.3415 0.5309
Sc3 Sc 0.3415 0.9930 0.4691
Sc4 Sc 0.1585 0.4930 0.7809
Sc5 Sc 0.8415 0.5070 0.2809
Sc6 Sc 0.4930 0.1585 0.2191
Sc7 Sc 0.5070 0.8415 0.7191
Sc8 Sc 0.6585 0.0070 0.9691
Re1 Re 0.6682 0.6682 0.5000
Re2 Re 0.1682 0.8318 0.2500
Re3 Re 0.3318 0.3318 0.0000
Re4 Re 0.0171 0.8152 0.6330
Re5 Re 0.9829 0.1848 0.1330
Re6 Re 0.8152 0.0171 0.3670
Re7 Re 0.3152 0.4829 0.3830
Re8 Re 0.6848 0.5171 0.8830
Re9 Re 0.4829 0.3152 0.6170
Re10 Re 0.5171 0.6848 0.1170
Re11 Re 0.1848 0.9829 0.8670
Re12 Re 0.8318 0.1682 0.7500
Si1 Si 0.0267 0.7215 0.4376
Si2 Si 0.6218 0.3045 0.4299
Si3 Si 0.3782 0.6955 0.9299
Si4 Si 0.1955 0.1218 0.6799
Si5 Si 0.3045 0.6218 0.5701
Si6 Si 0.6955 0.3782 0.0701
Si7 Si 0.8045 0.8782 0.1799
Si8 Si 0.1218 0.1955 0.3201
Si9 Si 0.9733 0.2785 0.9376
Si10 Si 0.7215 0.0267 0.5624
Si11 Si 0.2215 0.4733 0.1876
Si12 Si 0.7785 0.5267 0.6876
Si13 Si 0.4733 0.2215 0.8124
Si14 Si 0.5267 0.7785 0.3124
Si15 Si 0.2785 0.9733 0.0624
Si16 Si 0.8782 0.8045 0.8201

No. 9
# Sc5Re8Si12 | Alexandria | SCAN | single point on PBEsol structure
# Raw formation energy = -0.642 eV per atom
# Crystal system = orthorhombic
# Density = 9288 kg/m³
# Symmetry = Amm2 (38)
# Calculated volume = 14.67 Å³/atom
# DFT total energy = -2.282 Ry per atom
data_Sc5Re8Si12
_cell_length_a 5.2016
_cell_length_b 10.1332
_cell_length_c 14.3995
_cell_angle_alpha 90.00
_cell_angle_beta 90.00
_cell_angle_gamma 104.87
_symmetry_space_group_name_H-M 'P 1'
_symmetry_Int_Tables_number 1
loop_
_symmetry_equiv_pos_as_xyz
'x,y,z'
loop_
_atom_site_label
_atom_site_type_symbol
_atom_site_fract_x
_atom_site_fract_y
_atom_site_fract_z
Sc1 Sc 0.5882 0.7286 0.6731
Sc2 Sc 0.9601 0.0000 0.0000
Sc3 Sc 0.5882 0.7286 0.3269
Sc4 Sc 0.3615 0.2679 0.8245
Sc5 Sc 0.0937 0.7321 0.1755
Sc6 Sc 0.3615 0.2679 0.1755
Sc7 Sc 0.0937 0.7321 0.8245
Sc8 Sc 0.4353 0.0000 0.5000
Sc9 Sc 0.8596 0.2714 0.6731
Sc10 Sc 0.8596 0.2714 0.3269
Re1 Re 0.8705 0.7979 0.5000
Re2 Re 0.0726 0.2021 0.5000
Re3 Re 0.4368 0.4119 0.6248
Re4 Re 0.0249 0.5881 0.3752
Re5 Re 0.3890 0.8312 0.0000
Re6 Re 0.5579 0.1688 0.0000
Re7 Re 0.0249 0.5881 0.6248
Re8 Re 0.5271 0.5975 0.8925
Re9 Re 0.0002 0.0000 0.7686
Re10 Re 0.0002 0.0000 0.2314
Re11 Re 0.5085 0.0000 0.7208
Re12 Re 0.5085 0.0000 0.2792
Re13 Re 0.9296 0.4025 0.1075
Re14 Re 0.5271 0.5975 0.1075
Re15 Re 0.9296 0.4025 0.8925
Re16 Re 0.4368 0.4119 0.3752
Si1 Si 0.8018 0.1568 0.8509
Si2 Si 0.6450 0.8432 0.1491
Si3 Si 0.8018 0.1568 0.1491
Si4 Si 0.6450 0.8432 0.8509
Si5 Si 0.6731 0.5599 0.5000
Si6 Si 0.8625 0.0000 0.3976
Si7 Si 0.8625 0.0000 0.6024
Si8 Si 0.3487 0.0000 0.1210
Si9 Si 0.1132 0.4401 0.5000
Si10 Si 0.1179 0.2620 0.0000
Si11 Si 0.8559 0.7380 0.0000
Si12 Si 0.1551 0.5840 0.0000
Si13 Si 0.2277 0.5002 0.7581
Si14 Si 0.7275 0.4998 0.2419
Si15 Si 0.2277 0.5002 0.2419
Si16 Si 0.7275 0.4998 0.7581
Si17 Si 0.3293 0.7201 0.5000
Si18 Si 0.5711 0.4160 0.0000
Si19 Si 0.6092 0.2799 0.5000
Si20 Si 0.3487 0.0000 0.8790
Si21 Si 0.1369 0.8377 0.6466
Si22 Si 0.2993 0.1623 0.3534
Si23 Si 0.1369 0.8377 0.3534
Si24 Si 0.2993 0.1623 0.6466

No. 10
# Sr2ScRe | Alexandria | SCAN | single point on PBEsol structure
# Energy of formation from the pure elements = 2.04 eV/f.u.
# Crystal system = orthorhombic
# Density = 5352 kg/m³
# Symmetry = Immm (71)
# Calculated volume = 31.52 Å³/atom
# DFT total energy = -2.349 Ry per atom
data_Sr2ScRe
_cell_length_a 3.2748
_cell_length_b 4.3371
_cell_length_c 9.2846
_cell_angle_alpha 103.51
_cell_angle_beta 100.16
_cell_angle_gamma 90.00
_symmetry_space_group_name_H-M 'P 1'
_symmetry_Int_Tables_number 1
loop_
_symmetry_equiv_pos_as_xyz
'x,y,z'
loop_
_atom_site_label
_atom_site_type_symbol
_atom_site_fract_x
_atom_site_fract_y
_atom_site_fract_z
Re1 Re 0.5000 0.0000 0.0000
Sc1 Sc 0.0000 0.5000 0.0000
Sr1 Sr 0.8464 0.8464 0.6928
Sr2 Sr 0.1536 0.1536 0.3072

- Number 9 is which compound?
  Sc5Re8Si12

- What is the formula in the first record?
  Sc2ReSe

- DFT total energy of number 2 (ScReSe)?
  -2.599 Ry per atom